Y3Ho3ErSe8 (PBE, relaxed); E_form (uncorrected) = -1827 meV/atom; raw total energy = -93.0 eV per cell; theoretical density = 6.9 g/cm3; calculated volume = 377 Å³/f.u.; space group = R-3m, No. 166; spin magnetization = 0.00 μB per formula unit
1.0
-3.2888 -2.5086 -6.9726
-3.7327 -1.5438 7.0292
0.2780 7.5883 -2.8613
Se Y Ho Er
8 3 3 1
Cartesian
-4.1156 3.0223 -3.8594 Se
-2.3980 0.0173 -5.9185 Se
-5.9714 2.2783 -0.3333 Se
-0.7720 1.2576 -2.4713 Se
-2.5003 4.2815 -0.3611 Se
-4.2431 -0.7456 -2.4435 Se
-4.3455 3.5186 3.1139 Se
-2.6279 0.5136 1.0547 Se
-1.8663 -0.7719 3.5146 Y
0.0000 0.0000 0.0000 Y
-3.5107 -2.0262 0.0283 Y
-3.3717 1.7680 -1.4023 Ho
-1.5054 2.5398 -4.9169 Ho
-1.7273 3.0223 2.0840 Ho
0.1390 3.7941 -1.4306 Er